{"formula": "Ca2MnBr", "functional": "meta-GGA SCAN", "state": "PBEsol geometry", "lattice": [[5.7884, -1.8142, 0.0000], [5.7884, 1.8142, 0.0000], [-0.5992, 0.0000, 4.9183]], "species": ["Ca", "Ca", "Mn", "Br"], "fractional_positions": [[0.0000, 0.0000, 0.0000], [0.7161, 0.7161, 0.5459], [0.2627, 0.2627, 0.0524], [0.4467, 0.4467, 0.4736]], "m_tot_mub_per_atom": 0.891, "crystal_system": "monoclinic", "final_energy_ev_per_cell": -58.9, "polymorph_energy_mev_per_atom": 0.0, "dos_at_fermi_per_ev_fu": 1.94, "space_group": "Cm", "vol_a3_per_cell": 103.3}